[1]
The following is a PBE calculation of crystalline Bi2MoOs at its relaxed geometry, from the Alexandria database.

It has space group Fm-3m (No. 225), with a = 6.814 Å, b = 6.814 Å, c = 6.814 Å, α = 90.00°, β = 90.00° and γ = 90.00°. The distinct sites, in fractional coordinates, are Bi at (0.250, 0.250, 0.250), Mo at (0.000, 0.000, 0.000) and Os at (0.000, 0.000, 0.500).

As for the total magnetic moment: 0.0 μB/f.u. Its final energy is -6.5838 eV per atom. The energy of formation from the pure elements is 3.49 eV per formula unit.

=====

[2]
The following is a PBE calculation of crystalline BiMo2Os2 at its relaxed geometry, from the Alexandria database.

It has space group I4/mmm (No. 139), with a = 4.063 Å, b = 4.063 Å, c = 11.717 Å, α = 90.00°, β = 90.00° and γ = 90.00°. The distinct sites, in fractional coordinates, are Bi at (0.000, 0.000, 0.000), Mo at (0.000, 0.000, 0.380) and Os at (0.000, 0.500, 0.250).

As for the total magnetic moment: 0.0 μB/f.u. Its final energy is -9.0714 eV per atom. The energy of formation from the pure elements is 2.65 eV per formula unit.